This record from Alexandria via LeMat-Bulk describes crystalline VTcC3 at its relaxed geometry. The functional is PBE.

Calculated values
Calculated total energy in eV per atom: -7.58
Calculated volume in Å³ per atom: 12.4
ΔE_f in eV/atom: 1.853
Density of states at the Fermi level in states/eV/atom: 1.128
Relative energy among the computed polymorphs in meV/atom: 0

a = 3.9565 Å, b = 3.9565 Å, c = 3.9565 Å
α = 90.00°, β = 90.00°, γ = 90.00°
Element x y z (fractional)
V: 0.0000 0.0000 0.0000
Tc: 0.5000 0.5000 0.5000
C: 0.0000 0.5000 0.5000
C: 0.5000 0.0000 0.5000
C: 0.5000 0.5000 0.0000